1.
A plane-wave DFT calculation with PBE was carried out for a relaxed Na2Tl3Sn9 crystal.

Summary:
Its symmetry is Immm, No. 71. The crystal system is orthorhombic. The value obtained for the uncorrected energy is -3.305 eV/atom.

Cell lengths 5.2981, 9.5451, 9.5451 Å; angles 67.31, 73.89, 73.89 degrees
Closest atoms and distances in Å follow each position.
Element x y z (fractional)
Na (0.5000, 0.3179, 0.6821)  8 Sn 3.28-3.34, 2 Tl 3.49
Na (0.5000, 0.6821, 0.3179)  8 Sn 3.28-3.34, 2 Tl 3.49
Tl (0.0000, 0.0000, 0.0000)  4 Sn 3.44
Tl (0.6939, 0.3061, 0.3061)  2 Na 3.49, 12 Sn 3.57-3.87
Tl (0.3061, 0.6939, 0.6939)  2 Na 3.49, 12 Sn 3.57-3.87
Sn (0.0000, 0.5000, 0.5000)  4 Sn 3.14, 4 Na 3.28
Sn (0.6807, 0.9590, 0.6796)  4 Sn 2.96-3.07, 1 Na 3.30
Sn (0.3193, 0.0410, 0.3204)  4 Sn 2.96-3.07, 1 Na 3.30
Sn (0.6807, 0.6796, 0.9590)  4 Sn 2.96-3.07, 1 Na 3.30
Sn (0.3193, 0.3204, 0.0410)  4 Sn 2.96-3.07, 1 Na 3.30
Sn (0.8694, 0.8626, 0.3986)  4 Sn 2.99-3.14, 2 Na 3.34
Sn (0.1306, 0.1374, 0.6014)  4 Sn 2.99-3.14, 2 Na 3.34
Sn (0.8694, 0.3986, 0.8626)  4 Sn 2.99-3.14, 2 Na 3.34
Sn (0.1306, 0.6014, 0.1374)  4 Sn 2.99-3.14, 2 Na 3.34

2.
A plane-wave DFT calculation with PBE was carried out for a relaxed Na8Tl3Sn crystal.

Summary:
Its symmetry is Cm, No. 8. The crystal system is monoclinic. The value obtained for the uncorrected energy is -1.923 eV/atom.

Cell lengths 6.0348, 8.0575, 10.2963 Å; angles 51.59, 87.31, 110.15 degrees
Closest atoms and distances in Å follow each position.
Element x y z (fractional)
Na (0.8547, 0.0000, 0.4085)  7 Na 3.29-3.60, 4 Tl 3.39-3.48, 1 Sn 3.46
Na (0.4209, 0.5052, 0.4966)  7 Na 3.25-3.63, 4 Tl 3.31-3.59, 1 Sn 3.41
Na (0.9157, 0.4948, 0.0018)  7 Na 3.25-3.63, 4 Tl 3.31-3.59, 1 Sn 3.41
Na (0.3465, 0.0000, 0.9153)  7 Na 3.32-3.59, 3 Tl 3.35-3.52, 2 Sn 3.42-3.43
Na (0.8336, 0.0000, 0.7516)  1 Sn 3.31, 7 Na 3.32-3.59, 4 Tl 3.41-3.58
Na (0.8964, 0.5028, 0.3369)  7 Na 3.25-3.63, 1 Sn 3.35, 4 Tl 3.35-3.50
Na (0.3936, 0.4972, 0.8397)  7 Na 3.25-3.63, 1 Sn 3.35, 4 Tl 3.35-3.50
Na (0.3379, 0.0000, 0.2475)  7 Na 3.29-3.60, 3 Tl 3.36-3.50, 2 Sn 3.41-3.61
Tl (0.9111, 0.4926, 0.6811)  1 Sn 3.30, 10 Na 3.31-3.59, 1 Tl 3.38
Tl (0.4185, 0.5074, 0.1737)  1 Sn 3.30, 10 Na 3.31-3.59, 1 Tl 3.38
Tl (0.3382, 0.0000, 0.5741)  10 Na 3.35-3.58, 2 Tl 3.38
Sn (0.8330, 0.0000, 0.0734)  2 Tl 3.30, 10 Na 3.31-3.61

3.
A plane-wave DFT calculation with PBE was carried out for a relaxed Na2TlSn crystal.

Summary:
Its symmetry is P2_1/c, No. 14. The crystal system is monoclinic. The value obtained for the uncorrected energy is -2.368 eV/atom.

Cell lengths 6.3170, 11.3001, 8.1915 Å; angles 127.94, 90.00, 90.00 degrees
Closest atoms and distances in Å follow each position.
Element x y z (fractional)
Na (0.7376, 0.0891, 0.0848)  2 Sn 3.20-3.40, 3 Na 3.27-3.40, 3 Tl 3.31-3.35
Na (0.2376, 0.4109, 0.9152)  2 Sn 3.20-3.40, 3 Na 3.27-3.40, 3 Tl 3.31-3.35
Na (0.2624, 0.9109, 0.9152)  2 Sn 3.20-3.40, 3 Na 3.27-3.40, 3 Tl 3.31-3.35
Na (0.7624, 0.5891, 0.0848)  2 Sn 3.20-3.40, 3 Na 3.27-3.40, 3 Tl 3.31-3.35
Na (0.8531, 0.6936, 0.7944)  3 Tl 3.23-3.41, 3 Na 3.27-3.62, 4 Sn 3.33-3.53
Na (0.3531, 0.8064, 0.2056)  3 Tl 3.23-3.41, 3 Na 3.27-3.62, 4 Sn 3.33-3.53
Na (0.1469, 0.3064, 0.2056)  3 Tl 3.23-3.41, 3 Na 3.27-3.62, 4 Sn 3.33-3.53
Na (0.6469, 0.1936, 0.7944)  3 Tl 3.23-3.41, 3 Na 3.27-3.62, 4 Sn 3.33-3.53
Tl (0.3557, 0.1602, 0.4173)  6 Na 3.23-3.41, 3 Sn 3.44-3.62, 2 Tl 3.54
Tl (0.8557, 0.3398, 0.5827)  6 Na 3.23-3.41, 3 Sn 3.44-3.62, 2 Tl 3.54
Tl (0.6443, 0.8398, 0.5827)  6 Na 3.23-3.41, 3 Sn 3.44-3.62, 2 Tl 3.54
Tl (0.1443, 0.6602, 0.4173)  6 Na 3.23-3.41, 3 Sn 3.44-3.62, 2 Tl 3.54
Sn (0.6299, 0.4562, 0.3210)  1 Sn 2.95, 1 Na 3.20
Sn (0.1299, 0.0438, 0.6790)  1 Sn 2.95, 1 Na 3.20
Sn (0.3701, 0.5438, 0.6790)  1 Sn 2.95, 1 Na 3.20
Sn (0.8701, 0.9562, 0.3210)  1 Sn 2.95, 1 Na 3.20

4.
A plane-wave DFT calculation with PBE was carried out for a relaxed Na4Tl2Sn crystal.

Summary:
Its symmetry is I4/mmm, No. 139. The crystal system is tetragonal. The energy above the most stable polymorph in this dataset comes out at 149.2 meV/atom.

Cell lengths 5.8681, 5.8681, 8.9099 Å; angles 70.77, 70.77, 90.00 degrees
Closest atoms and distances in Å follow each position.
Element x y z (fractional)
Na (0.1948, 0.1948, 0.6105)  1 Sn 3.07, 1 Tl 3.22
Na (0.8052, 0.8052, 0.3895)  1 Sn 3.07, 1 Tl 3.22
Na (0.0000, 0.5000, 0.0000)  2 Sn 2.93
Na (0.5000, 0.0000, 0.0000)  2 Sn 2.93
Tl (0.3991, 0.3991, 0.2017)  1 Tl 3.18, 5 Na 3.22-3.34
Tl (0.6009, 0.6009, 0.7983)  1 Tl 3.18, 5 Na 3.22-3.34
Sn (0.0000, 0.0000, 0.0000)  6 Na 2.93-3.07

5.
A plane-wave DFT calculation with PBE was carried out for a relaxed Na4Tl4Sn3 crystal.

Summary:
Its symmetry is Amm2, No. 38. The crystal system is orthorhombic. The value obtained for the uncorrected energy is -2.511 eV/atom.

Cell lengths 5.1651, 6.6458, 10.1171 Å; angles 90.00, 90.00, 112.87 degrees
Closest atoms and distances in Å follow each position.
Element x y z (fractional)
Na (0.7529, 0.5057, 0.7677)  4 Tl 3.13-3.33, 2 Na 3.22-3.25, 4 Sn 3.30-3.49
Na (0.7529, 0.5057, 0.2323)  4 Tl 3.13-3.33, 2 Na 3.22-3.25, 4 Sn 3.30-3.49
Na (0.8952, 0.7905, 0.5000)  2 Na 3.22, 4 Tl 3.30-3.56
Na (0.9358, 0.8715, 0.0000)  4 Tl 3.16-3.42, 2 Na 3.25, 2 Sn 3.40
Tl (0.5952, 0.1905, 0.5000)  2 Sn 3.32, 5 Na 3.33-3.67, 4 Tl 3.42
Tl (0.5838, 0.1675, 0.0000)  4 Na 3.13-3.16, 4 Sn 3.22-3.33
Tl (0.0932, 0.1863, 0.7209)  4 Na 3.27-3.42, 3 Sn 3.35-3.45, 2 Tl 3.42
Tl (0.0932, 0.1863, 0.2791)  4 Na 3.27-3.42, 3 Sn 3.35-3.45, 2 Tl 3.42
Sn (0.4206, 0.8413, 0.2492)  4 Tl 3.22-3.35, 1 Sn 3.23, 2 Na 3.30
Sn (0.4206, 0.8413, 0.7508)  4 Tl 3.22-3.35, 1 Sn 3.23, 2 Na 3.30
Sn (0.2552, 0.5103, 0.0000)  2 Sn 3.23, 4 Tl 3.33-3.45, 6 Na 3.40-3.49

6.
A plane-wave DFT calculation with PBE was carried out for a relaxed Na4TlSn crystal.

Summary:
Its symmetry is C2/c, No. 15. The crystal system is monoclinic. The energy above the most stable polymorph in this dataset comes out at 0.0 meV/atom.

Cell lengths 5.4280, 6.4747, 9.9362 Å; angles 70.99, 90.03, 90.08 degrees
Closest atoms and distances in Å follow each position.
Element x y z (fractional)
Na (0.2500, 0.5390, 0.4166)  5 Na 3.13-3.27, 3 Sn 3.47-3.49
Na (0.2478, 0.7015, 0.0836)  5 Na 3.13-3.32, 2 Tl 3.47-3.50
Na (0.7500, 0.9556, 0.5834)  5 Na 3.13-3.27, 3 Sn 3.47-3.49
Na (0.7478, 0.7851, 0.9164)  5 Na 3.13-3.32, 2 Tl 3.47-3.50
Na (0.7500, 0.4610, 0.5834)  5 Na 3.13-3.27, 3 Sn 3.47-3.49
Na (0.2500, 0.0444, 0.4166)  5 Na 3.13-3.27, 3 Sn 3.47-3.49
Na (0.7522, 0.2985, 0.9164)  5 Na 3.13-3.32, 2 Tl 3.47-3.50
Na (0.2522, 0.2149, 0.0836)  5 Na 3.13-3.32, 2 Tl 3.47-3.50
Tl (0.7500, 0.8795, 0.2410)  2 Sn 3.24, 12 Na 3.47-3.59
Tl (0.2500, 0.1205, 0.7590)  2 Sn 3.24, 12 Na 3.47-3.59
Sn (0.7500, 0.3711, 0.2578)  2 Tl 3.24, 12 Na 3.47-3.57
Sn (0.2500, 0.6289, 0.7422)  2 Tl 3.24, 12 Na 3.47-3.57

7.
A plane-wave DFT calculation with PBE was carried out for a relaxed Na5TlSn crystal.

Summary:
Its symmetry is Imm2, No. 44. The crystal system is orthorhombic. The energy above the most stable polymorph in this dataset comes out at 242.0 meV/atom.

Cell lengths 6.0688, 7.8975, 7.8637 Å; angles 120.14, 112.70, 90.00 degrees
Closest atoms and distances in Å follow each position.
Element x y z (fractional)
Na (0.2637, 0.2459, 0.4918)  1 Sn 3.07, 1 Tl 3.20
Na (0.1234, 0.5000, 0.0000)  1 Tl 2.85, 2 Na 3.09
Na (0.7719, 0.7541, 0.5082)  1 Sn 3.07, 1 Tl 3.20
Na (0.4066, 0.1742, 0.0000)  1 Na 2.75, 1 Tl 2.98
Na (0.4066, 0.8258, 0.0000)  1 Na 2.75, 1 Tl 2.98
Tl (0.6544, 0.5000, 0.0000)  3 Na 2.85-2.98
Sn (0.9042, 0.0000, 0.0000)  6 Na 3.07-3.35

8.
A plane-wave DFT calculation with PBE was carried out for a relaxed Na2Tl8Sn crystal.

Summary:
Its symmetry is P4/mmm, No. 123. The crystal system is tetragonal. The energy above the most stable polymorph in this dataset comes out at 23.6 meV/atom.

Cell lengths 5.2676, 5.2676, 12.1665 Å; angles 90.00, 90.00, 90.00 degrees
Closest atoms and distances in Å follow each position.
Element x y z (fractional)
Na (0.0000, 0.0000, 0.3241)  12 Tl 3.39-3.72
Na (0.0000, 0.0000, 0.6759)  12 Tl 3.39-3.72
Tl (0.0000, 0.5000, 0.5000)  8 Tl 3.37-3.72, 4 Na 3.39
Tl (0.5000, 0.0000, 0.5000)  8 Tl 3.37-3.72, 4 Na 3.39
Tl (0.5000, 0.5000, 0.3270)  8 Tl 3.37-3.41, 4 Na 3.72
Tl (0.5000, 0.5000, 0.6730)  8 Tl 3.37-3.41, 4 Na 3.72
Tl (0.0000, 0.5000, 0.1490)  2 Sn 3.20, 2 Na 3.39, 2 Tl 3.41
Tl (0.5000, 0.0000, 0.1490)  2 Sn 3.20, 2 Na 3.39, 2 Tl 3.41
Tl (0.0000, 0.5000, 0.8510)  2 Sn 3.20, 2 Na 3.39, 2 Tl 3.41
Tl (0.5000, 0.0000, 0.8510)  2 Sn 3.20, 2 Na 3.39, 2 Tl 3.41
Sn (0.0000, 0.0000, 0.0000)  8 Tl 3.20

9.
A plane-wave DFT calculation with PBE was carried out for a relaxed Na3Tl5Sn crystal.

Summary:
Its symmetry is I4/mcm, No. 140. The crystal system is tetragonal. The value obtained for the uncorrected energy is -2.203 eV/atom.

Cell lengths 8.9825, 8.9825, 9.2851 Å; angles 118.93, 118.93, 90.00 degrees
Closest atoms and distances in Å follow each position.
Element x y z (fractional)
Na (0.6120, 0.1120, 0.0000)  1 Na 2.85, 2 Tl 2.97
Na (0.3880, 0.8880, 0.0000)  1 Na 2.85, 2 Tl 2.97
Na (0.8880, 0.6120, 0.0000)  1 Na 2.85, 2 Tl 2.97
Na (0.1120, 0.3880, 0.0000)  1 Na 2.85, 2 Tl 2.97
Na (0.2500, 0.2500, 0.5000)  10 Tl 3.39-3.58
Na (0.7500, 0.7500, 0.5000)  10 Tl 3.39-3.58
Tl (0.0687, 0.5687, 0.7274)  1 Na 2.97, 1 Sn 3.03, 1 Tl 3.29
Tl (0.6587, 0.1587, 0.7274)  1 Na 2.97, 1 Sn 3.03, 1 Tl 3.29
Tl (0.1587, 0.0687, 0.7274)  1 Na 2.97, 1 Sn 3.03, 1 Tl 3.29
Tl (0.5687, 0.6587, 0.7274)  1 Na 2.97, 1 Sn 3.03, 1 Tl 3.29
Tl (0.9313, 0.4313, 0.2726)  1 Na 2.97, 1 Sn 3.03, 1 Tl 3.29
Tl (0.3413, 0.8413, 0.2726)  1 Na 2.97, 1 Sn 3.03, 1 Tl 3.29
Tl (0.8413, 0.9313, 0.2726)  1 Na 2.97, 1 Sn 3.03, 1 Tl 3.29
Tl (0.4313, 0.3413, 0.2726)  1 Na 2.97, 1 Sn 3.03, 1 Tl 3.29
Tl (0.5000, 0.5000, 0.0000)  6 Na 3.39-3.63, 8 Tl 3.72
Tl (0.0000, 0.0000, 0.0000)  6 Na 3.39-3.63, 8 Tl 3.72
Sn (0.7500, 0.2500, 0.5000)  4 Tl 3.03
Sn (0.2500, 0.7500, 0.5000)  4 Tl 3.03

10.
A plane-wave DFT calculation with PBE was carried out for a relaxed Na7Tl4Sn crystal.

Summary:
Its symmetry is C2/m, No. 12. The crystal system is monoclinic. The energy above the most stable polymorph in this dataset comes out at 70.9 meV/atom.

Cell lengths 5.8788, 9.4720, 8.1179 Å; angles 62.76, 68.77, 71.92 degrees
Closest atoms and distances in Å follow each position.
Element x y z (fractional)
Na (0.8243, 0.8577, 0.4937)  5 Na 3.31-3.69, 3 Tl 3.44-3.71, 1 Sn 3.44
Na (0.1757, 0.1423, 0.5063)  5 Na 3.31-3.69, 3 Tl 3.44-3.71, 1 Sn 3.44
Na (0.0780, 0.5861, 0.2579)  3 Na 3.24-3.55, 5 Tl 3.38-3.45, 1 Sn 3.47
Na (0.9220, 0.4139, 0.7421)  3 Na 3.24-3.55, 5 Tl 3.38-3.45, 1 Sn 3.47
Na (0.2255, 0.7549, 0.7940)  4 Tl 3.13-3.37, 1 Sn 3.16, 2 Na 3.24-3.31
Na (0.5000, 0.0000, 0.0000)  2 Sn 2.94, 4 Tl 3.25-3.26
Na (0.7745, 0.2451, 0.2060)  4 Tl 3.13-3.37, 1 Sn 3.16, 2 Na 3.24-3.31
Tl (0.5544, 0.3047, 0.5865)  6 Na 3.13-3.45, 2 Tl 3.23-3.24
Tl (0.4456, 0.6953, 0.4135)  6 Na 3.13-3.45, 2 Tl 3.23-3.24
Tl (0.6730, 0.6328, 0.0212)  7 Na 3.21-3.40, 1 Tl 3.23
Tl (0.3270, 0.3672, 0.9788)  7 Na 3.21-3.40, 1 Tl 3.23
Sn (0.0000, 0.0000, 0.0000)  4 Na 2.94-3.16

11.
A plane-wave DFT calculation with PBE was carried out for a relaxed Na3Tl7Sn2 crystal.

Summary:
Its symmetry is R-3m, No. 166. The crystal system is trigonal. The energy above the most stable polymorph in this dataset comes out at 31.5 meV/atom.

Cell lengths 6.6015, 6.6015, 11.0995 Å; angles 72.70, 72.70, 60.00 degrees
Closest atoms and distances in Å follow each position.
Element x y z (fractional)
Na (0.0000, 0.0000, 0.0000)  6 Sn 3.81, 12 Tl 4.21
Na (0.8616, 0.8616, 0.4152)  12 Tl 3.72-3.94
Na (0.1384, 0.1384, 0.5848)  12 Tl 3.72-3.94
Tl (0.5000, 0.5000, 0.5000)  6 Tl 3.25
Tl (0.9251, 0.4119, 0.2510)  2 Sn 3.19-3.29, 5 Tl 3.21-3.39
Tl (0.4119, 0.9251, 0.2510)  2 Sn 3.19-3.29, 5 Tl 3.21-3.39
Tl (0.4119, 0.4119, 0.2510)  2 Sn 3.19-3.29, 5 Tl 3.21-3.39
Tl (0.0749, 0.5881, 0.7490)  2 Sn 3.19-3.29, 5 Tl 3.21-3.39
Tl (0.5881, 0.5881, 0.7490)  2 Sn 3.19-3.29, 5 Tl 3.21-3.39
Tl (0.5881, 0.0749, 0.7490)  2 Sn 3.19-3.29, 5 Tl 3.21-3.39
Sn (0.6635, 0.6635, 0.0094)  6 Tl 3.19-3.29
Sn (0.3365, 0.3365, 0.9906)  6 Tl 3.19-3.29

12.
A plane-wave DFT calculation with PBE was carried out for a relaxed Na2Tl5Sn2 crystal.

Summary:
Its symmetry is Ima2, No. 46. The crystal system is orthorhombic. The energy above the most stable polymorph in this dataset comes out at 0.0 meV/atom.

Cell lengths 5.4527, 9.6164, 11.5022 Å; angles 114.71, 103.71, 90.00 degrees
Closest atoms and distances in Å follow each position.
Element x y z (fractional)
Na (0.0842, 0.6168, 0.1643)  4 Tl 3.17-3.39, 1 Na 3.32
Na (0.9158, 0.4524, 0.8357)  4 Tl 3.17-3.39, 1 Na 3.32
Na (0.5801, 0.1168, 0.1643)  4 Tl 3.17-3.39, 1 Na 3.32
Na (0.4199, 0.9524, 0.8357)  4 Tl 3.17-3.39, 1 Na 3.32
Tl (0.4161, 0.6206, 0.8361)  3 Na 3.17-3.19, 1 Tl 3.31, 1 Sn 3.39
Tl (0.5839, 0.7845, 0.1639)  3 Na 3.17-3.19, 1 Tl 3.31, 1 Sn 3.39
Tl (0.9200, 0.1206, 0.8361)  3 Na 3.17-3.19, 1 Tl 3.31, 1 Sn 3.39
Tl (0.0800, 0.2845, 0.1639)  3 Na 3.17-3.19, 1 Tl 3.31, 1 Sn 3.39
Tl (0.1666, 0.0381, 0.3326)  4 Sn 3.36-3.64, 7 Tl 3.38-3.61, 3 Na 3.56-3.66
Tl (0.8334, 0.7054, 0.6674)  4 Sn 3.36-3.64, 7 Tl 3.38-3.61, 3 Na 3.56-3.66
Tl (0.6660, 0.5381, 0.3326)  4 Sn 3.36-3.64, 7 Tl 3.38-3.61, 3 Na 3.56-3.66
Tl (0.3340, 0.2054, 0.6674)  4 Sn 3.36-3.64, 7 Tl 3.38-3.61, 3 Na 3.56-3.66
Tl (0.2490, 0.7908, 0.5000)  3 Sn 3.16-3.21, 2 Na 3.39
Tl (0.7510, 0.2908, 0.5000)  3 Sn 3.16-3.21, 2 Na 3.39
Sn (0.0000, 0.8702, 0.0000)  8 Tl 3.36-3.60, 6 Na 3.55-3.63
Sn (0.5000, 0.3702, 0.0000)  8 Tl 3.36-3.60, 6 Na 3.55-3.63
Sn (0.2509, 0.4572, 0.5000)  5 Tl 3.16-3.39
Sn (0.7491, 0.9572, 0.5000)  5 Tl 3.16-3.39